# NaSrTbCl6 | the Alexandria database | PBE | relaxed
# - Energy: -4.325 eV per atom
# - Total moment: 0.0 μB/f.u.
# - Formation energy without anion corrections: -216.7 kJ/mol of atoms
# - Density: 2.96 g/cm3
data_NaSrTbCl6
_cell_length_a 7.037
_cell_length_b 7.037
_cell_length_c 12.612
_cell_angle_alpha 90.00
_cell_angle_beta 90.00
_cell_angle_gamma 120.00
_symmetry_space_group_name_H-M 'P 1'
_symmetry_Int_Tables_number 1
_symmetry_space_group_name_Hall 'P 1'
loop_
_atom_site_label
_atom_site_fract_x
_atom_site_fract_y
_atom_site_fract_z
Na1 0.333 0.667 0.250
Na2 0.667 0.333 0.750
Sr1 0.000 0.000 0.000
Sr2 0.000 0.000 0.500
Tb1 0.667 0.333 0.250
Tb2 0.333 0.667 0.750
Cl1 0.662 0.645 0.131
Cl2 0.982 0.338 0.131
Cl3 0.338 0.982 0.631
Cl4 0.018 0.662 0.869
Cl5 0.355 0.338 0.369
Cl6 0.982 0.645 0.369
Cl7 0.645 0.982 0.869
Cl8 0.662 0.018 0.369
Cl9 0.018 0.355 0.631
Cl10 0.355 0.018 0.131
Cl11 0.645 0.662 0.631
Cl12 0.338 0.355 0.869